DyScPt | the Alexandria database | PBE | optimized geometry; calculated formation energy = -0.847 eV/atom
1.0
0.0000 3.3382 3.3382
3.3382 0.0000 3.3382
3.3382 3.3382 0.0000
Dy Sc Pt
1 1 1
Direct
0.0000 0.0000 0.0000
0.5000 0.5000 0.5000
0.7500 0.7500 0.7500

***

HoZn3Cd | the Alexandria database | PBE | optimized geometry; calculated formation energy = -0.216 eV/atom
1.0
1.7642 -12.6898 0.0000
1.7642 12.6898 0.0000
0.0000 0.0000 4.4173
Ho Zn Cd
2 6 2
Direct
0.0748 0.9252 0.7500
0.9252 0.0748 0.2500
0.3234 0.6766 0.2500
0.3755 0.6245 0.7500
0.4757 0.5243 0.7500
0.5243 0.4757 0.2500
0.6245 0.3755 0.2500
0.6766 0.3234 0.7500
0.2148 0.7852 0.2500
0.7852 0.2148 0.7500

***

BePb | the Alexandria database | PBE | optimized geometry; calculated formation energy = 0.523 eV/atom
1.0
6.1336 0.0000 0.0000
0.0000 6.6514 0.0000
0.0000 0.0000 8.2131
Be Pb
8 8
Direct
0.1018 0.1370 0.0991
0.1516 0.9045 0.3737
0.3484 0.0955 0.8737
0.3982 0.8630 0.5991
0.6018 0.3630 0.9009
0.6516 0.5955 0.6263
0.8484 0.4045 0.1263
0.8982 0.6370 0.4009
0.0406 0.3777 0.8309
0.0648 0.2846 0.3962
0.4352 0.7154 0.8962
0.4594 0.6223 0.3309
0.5406 0.1223 0.1691
0.5648 0.2154 0.6038
0.9352 0.7846 0.1038
0.9594 0.8777 0.6691

***

LiZrRu | the Alexandria database | PBE | optimized geometry; calculated formation energy = -0.169 eV/atom
1.0
4.5063 0.0000 0.0000
-2.2531 3.9025 0.0000
0.0000 0.0000 5.6473
Li Zr Ru
2 2 2
Direct
0.0000 0.0000 0.0000
0.3333 0.6667 0.8340
0.3333 0.6667 0.3122
0.6667 0.3333 0.6709
0.0000 0.0000 0.4966
0.6667 0.3333 0.1814

***

TbPmTl2 | the Alexandria database | PBE | optimized geometry; calculated formation energy = -0.267 eV/atom
1.0
1.9096 1.1025 9.6890
-1.9096 1.1025 9.6890
0.0000 -2.2051 9.6890
Tb Pm Tl
1 1 2
Direct
0.0000 0.0000 0.0000
0.5000 0.5000 0.5000
0.2515 0.2515 0.2515
0.7485 0.7485 0.7485

***

SrAgSnPd2 | the Alexandria database | PBE | optimized geometry; calculated formation energy = -0.184 eV/atom
1.0
5.0889 0.0000 0.0000
0.0000 5.0889 0.0000
0.0000 0.0000 5.1526
Sr Ag Sn Pd
1 1 1 2
Direct
0.0000 0.0000 0.0000
0.5000 0.5000 0.0000
0.5000 0.5000 0.5000
0.0000 0.5000 0.5000
0.5000 0.0000 0.5000

***

Computed density (kg/m³) in order:
8984, 7952, 8572, 6663, 9669, 6559